This record from Alexandria via LeMat-Bulk describes an optimized crystal structure of Pd12Pb3Au. The functional is PBE.

Values from the calculation:
electronic total energy: -5.0047 eV/atom
calculated density: 12.78 g cm⁻³
DFT formation energy: -3.359 eV/f.u.

a b c (Å): 4.092 4.092 16.259
angles (deg): 90.00 90.00 90.00
Positions (direct):
Pd 0.500 0.500 0.000
Pd 0.500 0.500 0.248
Pd 0.500 0.500 0.500
Pd 0.500 0.500 0.752
Pd 0.500 0.000 0.121
Pd 0.500 0.000 0.373
Pd 0.500 0.000 0.627
Pd 0.500 0.000 0.879
Pd 0.000 0.500 0.121
Pd 0.000 0.500 0.373
Pd 0.000 0.500 0.627
Pd 0.000 0.500 0.879
Pb 0.000 0.000 0.244
Pb 0.000 0.000 0.500
Pb 0.000 0.000 0.756
Au 0.000 0.000 0.000

=====

This record from Alexandria via LeMat-Bulk describes an optimized crystal structure of LaSm2ThS4. The functional is PBE.

Values from the calculation:
ΔE_f (raw): -46.3 kcal/mol of atoms
electronic total energy: -6.7939 eV/atom
calculated density: 7.07 g cm⁻³

a b c (Å): 4.030 7.007 7.051
angles (deg): 109.26 90.00 90.00
Positions (direct):
La 0.000 0.000 0.000
Sm 0.500 0.000 0.500
Sm 0.000 0.500 0.500
Th 0.500 0.500 0.000
S 0.500 0.256 0.258
S 0.500 0.744 0.742
S 0.000 0.251 0.744
S 0.000 0.749 0.256

=====

This record from Alexandria via LeMat-Bulk describes an optimized crystal structure of K5La. The functional is PBE.

Values from the calculation:
electronic total energy: -1.4435 eV/atom
calculated density: 1.52 g cm⁻³
DFT formation energy: 1.754 eV/f.u.

a b c (Å): 12.015 12.015 4.235
angles (deg): 90.00 90.00 143.17
Site moments in Bohr magnetons follow the coordinates.
Positions (direct):
K 0.338 0.662 0.500  0.00
K 0.158 0.842 0.000  0.00
K 0.000 0.000 0.500  0.00
K 0.842 0.158 0.000  0.00
K 0.662 0.338 0.500  0.00
La 0.500 0.500 0.000  0.36

=====

This record from Alexandria via LeMat-Bulk describes an optimized crystal structure of ZrZn5Cu4. The functional is PBE.

Values from the calculation:
electronic total energy: -3.2538 eV/atom
calculated density: 7.89 g cm⁻³
DFT formation energy: -1.236 eV/f.u.

a b c (Å): 3.011 3.011 15.620
angles (deg): 90.00 90.00 90.00
Site moments in Bohr magnetons follow the coordinates.
Positions (direct):
Zr 0.000 0.000 0.000  0.06
Zn 0.500 0.500 0.129  0.00
Zn 0.500 0.500 0.315  0.00
Zn 0.500 0.500 0.500  0.00
Zn 0.500 0.500 0.685  0.00
Zn 0.500 0.500 0.871  0.00
Cu 0.000 0.000 0.222  0.00
Cu 0.000 0.000 0.407  0.00
Cu 0.000 0.000 0.593  0.00
Cu 0.000 0.000 0.778  0.00

=====

Number 1: size of the total moment 0.00 μB/cell. Number 2: size of the total moment 0.00 μB/cell. Number 3: size of the total moment 0.72 μB/cell. Number 4: size of the total moment 0.09 μB/cell.